Ce2ErSe: relaxed, PBE.

Cell lengths 3.8137, 3.8137, 28.7481 Å; angles 90.00, 90.00, 120.00 degrees
With the nearest neighbours (Å) after each atom.
Element x y z (fractional)
Ce  0.0000  0.0000  0.2344  3 Se 2.94
Ce  0.0000  0.0000  0.7656  3 Se 2.94
Ce  0.3333  0.6667  0.4323  3 Se 2.94
Ce  0.3333  0.6667  0.9011  3 Se 2.94
Ce  0.6667  0.3333  0.0989  3 Se 2.94
Ce  0.6667  0.3333  0.5677  3 Se 2.94
Er  0.0000  0.0000  0.0000  6 Ce 3.60, 6 Er 3.81
Er  0.3333  0.6667  0.6667  6 Ce 3.60, 6 Er 3.81
Er  0.6667  0.3333  0.3333  6 Ce 3.60, 6 Er 3.81
Se  0.0000  0.0000  0.5000  6 Ce 2.94
Se  0.3333  0.6667  0.1667  6 Ce 2.94
Se  0.6667  0.3333  0.8333  6 Ce 2.94

Summary:
Total energy ... -5.61 eV per atom
Formation energy from raw total energies ... -60.8 kJ/mol of atoms